1.
This record from Alexandria describes a relaxed TbDyV crystal. The functional is PBE.

a = 11.0040 Å, b = 5.3019 Å, c = 6.5847 Å
α = 90.00°, β = 126.69°, γ = 90.00°
With the nearest neighbours (Å) after each atom.
Sites, in units of the cell vectors:
1 Tb 0.0000 0.0000 0.0000  3 V 2.99-3.34, 2 Dy 3.29
2 Tb 0.1397 0.5000 0.3904  2 V 3.12, 4 Dy 3.29-3.36, 2 Tb 3.36
3 Tb 0.5000 0.5000 0.0000  3 V 2.99-3.34, 2 Dy 3.29
4 Tb 0.6397 0.0000 0.3904  2 V 3.12, 4 Dy 3.29-3.36, 2 Tb 3.36
5 Dy 0.1396 0.5000 0.8899  2 V 3.12, 4 Tb 3.29-3.35, 2 Dy 3.35
6 Dy 0.2793 0.0000 0.7805  3 V 2.99-3.34, 2 Tb 3.29, 2 Dy 3.35
7 Dy 0.6396 0.0000 0.8899  2 V 3.12, 4 Tb 3.29-3.35, 2 Dy 3.35
8 Dy 0.7793 0.5000 0.7805  3 V 2.99-3.34, 2 Tb 3.29, 2 Dy 3.35
9 V 0.3392 0.0000 0.3395  2 V 2.80, 2 Tb 2.99-3.12, 1 Dy 3.12
10 V 0.4399 0.5000 0.4407  2 V 2.80, 2 Dy 2.99-3.12, 1 Tb 3.12
11 V 0.8392 0.5000 0.3395  2 V 2.80, 2 Tb 2.99-3.12, 1 Dy 3.12
12 V 0.9399 0.0000 0.4407  2 V 2.80, 2 Dy 2.99-3.12, 1 Tb 3.12

Formation energy ... 393 meV per atom
Spin magnetization ... 2.5 μB/f.u.
Fermi-level density of states ... 15.55 states/eV per cell
Space-group type ... No. 8
E_tot ... -68.694 eV/cell

***

2.
This record from Alexandria describes a relaxed TbDy2V crystal. The functional is PBE.

a = 3.3711 Å, b = 3.3711 Å, c = 34.2910 Å
α = 90.00°, β = 90.00°, γ = 120.00°
With the nearest neighbours (Å) after each atom.
Sites, in units of the cell vectors:
1 Tb 0.0000 0.0000 0.0000  6 Tb 3.37, 6 Dy 3.50
2 Tb 0.3333 0.6667 0.6667  6 Tb 3.37, 6 Dy 3.50
3 Tb 0.6667 0.3333 0.3333  6 Tb 3.37, 6 Dy 3.50
4 Dy 0.0000 0.0000 0.4182  1 V 2.80
5 Dy 0.0000 0.0000 0.5818  1 V 2.80
6 Dy 0.3333 0.6667 0.0849  1 V 2.80
7 Dy 0.3333 0.6667 0.2484  1 V 2.80
8 Dy 0.6667 0.3333 0.7516  1 V 2.80
9 Dy 0.6667 0.3333 0.9151  1 V 2.80
10 V 0.0000 0.0000 0.5000  2 Dy 2.80
11 V 0.3333 0.6667 0.1667  2 Dy 2.80
12 V 0.6667 0.3333 0.8333  2 Dy 2.80

Formation energy ... 605 meV per atom
Spin magnetization ... 3.1 μB/f.u.
Fermi-level density of states ... 19.84 states/eV per cell
Space-group type ... No. 166
E_tot ... -61.602 eV/cell

***

3.
This record from Alexandria describes a relaxed TbDyV4 crystal. The functional is PBE.

a = 5.3805 Å, b = 5.3805 Å, c = 5.3805 Å
α = 60.00°, β = 60.00°, γ = 60.00°
With the nearest neighbours (Å) after each atom.
Sites, in units of the cell vectors:
1 Tb 0.0000 0.0000 0.0000  12 V 3.16, 4 Dy 3.29
2 Dy 0.2500 0.2500 0.2500  12 V 3.15, 4 Tb 3.29
3 V 0.1336 0.6221 0.6221  6 V 2.63-2.75
4 V 0.6221 0.1336 0.6221  6 V 2.63-2.75
5 V 0.6221 0.6221 0.1336  6 V 2.63-2.75
6 V 0.6221 0.6221 0.6221  6 V 2.63-2.75

Formation energy ... 370 meV per atom
Spin magnetization ... 0.0 μB/f.u.
Fermi-level density of states ... 14.14 states/eV per cell
Space-group type ... No. 216
E_tot ... -43.488 eV/cell

***

4.
This record from Alexandria describes a relaxed TbDyW crystal. The functional is PBE.

a = 3.3398 Å, b = 3.3398 Å, c = 13.7382 Å
α = 90.00°, β = 90.00°, γ = 90.00°
With the nearest neighbours (Å) after each atom.
Sites, in units of the cell vectors:
1 Tb 0.2500 0.2500 0.1961  5 W 3.12-3.35, 4 Tb 3.34
2 Tb 0.7500 0.7500 0.8039  5 W 3.12-3.35, 4 Tb 3.34
3 Dy 0.2500 0.2500 0.5935  8 Dy 3.34-3.49, 4 Tb 3.73
4 Dy 0.7500 0.7500 0.4065  8 Dy 3.34-3.49, 4 Tb 3.73
5 W 0.2500 0.2500 0.9524  4 W 2.70
6 W 0.7500 0.7500 0.0476  4 W 2.70

Formation energy ... 209 meV per atom
Spin magnetization ... 0.0 μB/f.u.
Fermi-level density of states ... 8.34 states/eV per cell
Space-group type ... No. 129
E_tot ... -43.115 eV/cell

***

5.
This record from Alexandria describes a relaxed TbDy2W crystal. The functional is PBE.

a = 3.2157 Å, b = 3.2157 Å, c = 34.7550 Å
α = 90.00°, β = 90.00°, γ = 120.00°
With the nearest neighbours (Å) after each atom.
Sites, in units of the cell vectors:
1 Tb 0.0000 0.0000 0.0000  6 Tb 3.22, 6 Dy 3.51
2 Tb 0.3333 0.6667 0.6667  6 Tb 3.22, 6 Dy 3.51
3 Tb 0.6667 0.3333 0.3333  6 Tb 3.22, 6 Dy 3.51
4 Dy 0.0000 0.0000 0.4192  1 W 2.81
5 Dy 0.0000 0.0000 0.5808  1 W 2.81
6 Dy 0.3333 0.6667 0.0858  1 W 2.81
7 Dy 0.3333 0.6667 0.2475  1 W 2.81
8 Dy 0.6667 0.3333 0.7525  1 W 2.81
9 Dy 0.6667 0.3333 0.9142  1 W 2.81
10 W 0.0000 0.0000 0.5000  2 Dy 2.81
11 W 0.3333 0.6667 0.1667  2 Dy 2.81
12 W 0.6667 0.3333 0.8333  2 Dy 2.81

Formation energy ... 815 meV per atom
Spin magnetization ... 0.0 μB/f.u.
Fermi-level density of states ... 14.55 states/eV per cell
Space-group type ... No. 166
E_tot ... -70.581 eV/cell

***

6.
This record from Alexandria describes a relaxed TbDyW4 crystal. The functional is PBE.

a = 5.5496 Å, b = 5.5496 Å, c = 5.5496 Å
α = 60.00°, β = 60.00°, γ = 60.00°
With the nearest neighbours (Å) after each atom.
Sites, in units of the cell vectors:
1 Tb 0.0000 0.0000 0.0000  12 W 3.25, 4 Dy 3.40
2 Dy 0.7500 0.7500 0.7500  12 W 3.25, 4 Tb 3.40
3 W 0.3750 0.3750 0.3750  6 W 2.77-2.78
4 W 0.3750 0.3750 0.8750  6 W 2.77-2.78
5 W 0.3750 0.8750 0.3750  6 W 2.77-2.78
6 W 0.8750 0.3750 0.3750  6 W 2.77-2.78

Formation energy ... 165 meV per atom
Spin magnetization ... 0.0 μB/f.u.
Fermi-level density of states ... 10.50 states/eV per cell
Space-group type ... No. 216
E_tot ... -60.058 eV/cell

***

7.
This record from Alexandria describes a relaxed Tb6Dy3Y crystal. The functional is PBE.

a = 10.9607 Å, b = 10.9607 Å, c = 6.2386 Å
α = 90.00°, β = 90.00°, γ = 120.07°
With the nearest neighbours (Å) after each atom.
Sites, in units of the cell vectors:
1 Tb 0.0415 0.9585 0.5000  1 Y 3.33, 4 Dy 3.46-3.55, 2 Tb 3.49
2 Tb 0.0498 0.4714 0.0411  5 Tb 3.17-3.46, 2 Dy 3.26-3.53, 2 Y 3.31-3.44
3 Tb 0.2785 0.7215 0.7560  4 Tb 3.17-3.41, 2 Y 3.36-3.55, 1 Dy 3.40
4 Tb 0.2875 0.3791 0.8585  4 Dy 3.42-3.66, 5 Tb 3.43-3.76
5 Tb 0.3791 0.2875 0.3585  4 Dy 3.42-3.66, 5 Tb 3.43-3.76
6 Tb 0.4714 0.0498 0.5411  5 Tb 3.17-3.46, 2 Dy 3.26-3.53, 2 Y 3.31-3.44
7 Tb 0.5286 0.9502 0.0411  5 Tb 3.17-3.46, 2 Dy 3.26-3.53, 2 Y 3.31-3.44
8 Tb 0.6209 0.7125 0.8585  4 Dy 3.42-3.66, 5 Tb 3.43-3.76
9 Tb 0.7125 0.6209 0.3585  4 Dy 3.42-3.66, 5 Tb 3.43-3.76
10 Tb 0.7215 0.2785 0.2560  4 Tb 3.17-3.41, 2 Y 3.36-3.55, 1 Dy 3.40
11 Tb 0.9502 0.5286 0.5411  5 Tb 3.17-3.46, 2 Dy 3.26-3.53, 2 Y 3.31-3.44
12 Tb 0.9585 0.0415 0.0000  1 Y 3.33, 4 Dy 3.46-3.55, 2 Tb 3.49
13 Dy 0.0586 0.2807 0.4355  6 Tb 3.26-3.55, 1 Y 3.28
14 Dy 0.2807 0.0586 0.9355  6 Tb 3.26-3.55, 1 Y 3.28
15 Dy 0.3889 0.6111 0.3275  7 Tb 3.40-3.69, 1 Y 3.60, 2 Dy 3.68
16 Dy 0.6111 0.3889 0.8275  7 Tb 3.40-3.69, 1 Y 3.60, 2 Dy 3.68
17 Dy 0.7193 0.9414 0.4355  6 Tb 3.26-3.55, 1 Y 3.28
18 Dy 0.9414 0.7193 0.9355  6 Tb 3.26-3.55, 1 Y 3.28
19 Y 0.2001 0.7999 0.2727  3 Dy 3.28-3.60, 7 Tb 3.31-3.55
20 Y 0.7999 0.2001 0.7727  3 Dy 3.28-3.60, 7 Tb 3.31-3.55

Formation energy ... 154 meV per atom
Spin magnetization ... 0.0 μB/f.u.
Fermi-level density of states ... 29.29 states/eV per cell
Space-group type ... No. 36
E above lowest polymorph ... 30 meV/atom
E_tot ... -93.032 eV/cell

***

8.
This record from Alexandria describes a relaxed Tb4Dy4Y3 crystal. The functional is PBE.

a = 10.8453 Å, b = 10.8453 Å, c = 10.8453 Å
α = 161.15°, β = 118.00°, γ = 65.43°
With the nearest neighbours (Å) after each atom.
Sites, in units of the cell vectors:
1 Tb 0.0666 0.8308 0.2358  4 Dy 3.15-3.50, 2 Tb 3.46
2 Tb 0.4050 0.1692 0.2358  4 Dy 3.15-3.50, 2 Tb 3.46
3 Tb 0.5950 0.8308 0.7642  4 Dy 3.15-3.50, 2 Tb 3.46
4 Tb 0.9334 0.1692 0.7642  4 Dy 3.15-3.50, 2 Tb 3.46
5 Dy 0.2277 0.7277 0.5000  6 Tb 3.35-3.50, 2 Y 3.52, 2 Dy 3.55
6 Dy 0.2916 0.0000 0.2916  2 Tb 3.15, 4 Y 3.51
7 Dy 0.7084 0.0000 0.7084  2 Tb 3.15, 4 Y 3.51
8 Dy 0.7723 0.2723 0.5000  6 Tb 3.35-3.50, 2 Y 3.52, 2 Dy 3.55
9 Y 0.0000 0.5000 0.5000  2 Y 3.55, 4 Dy 3.71
10 Y 0.3943 0.3943 0.0000  6 Dy 3.51-3.52, 3 Y 3.55-3.86, 4 Tb 3.64
11 Y 0.6057 0.6057 0.0000  6 Dy 3.51-3.52, 3 Y 3.55-3.86, 4 Tb 3.64

Formation energy ... 175 meV per atom
Spin magnetization ... 0.0 μB/f.u.
Fermi-level density of states ... 15.77 states/eV per cell
Space-group type ... No. 71
E above lowest polymorph ... 124 meV/atom
E_tot ... -54.392 eV/cell

***

9.
This record from Alexandria describes a relaxed Tb6Dy2Y crystal. The functional is PBE.

a = 3.5611 Å, b = 8.7089 Å, c = 9.4105 Å
α = 90.01°, β = 100.84°, γ = 90.08°
With the nearest neighbours (Å) after each atom.
Sites, in units of the cell vectors:
1 Tb 0.1116 0.1668 0.2221  4 Dy 3.55-3.56, 7 Tb 3.55-3.57, 1 Y 3.56
2 Tb 0.2217 0.8334 0.4438  10 Tb 3.55-3.57, 2 Dy 3.55-3.56
3 Tb 0.3329 0.4998 0.6662  9 Tb 3.55-3.56, 2 Y 3.56, 1 Dy 3.57
4 Tb 0.6671 0.5002 0.3338  9 Tb 3.55-3.56, 2 Y 3.56, 1 Dy 3.57
5 Tb 0.7783 0.1666 0.5562  10 Tb 3.55-3.57, 2 Dy 3.55-3.56
6 Tb 0.8884 0.8332 0.7779  4 Dy 3.55-3.56, 7 Tb 3.55-3.57, 1 Y 3.56
7 Dy 0.4443 0.1656 0.8889  3 Dy 3.54-3.56, 7 Tb 3.55-3.57, 2 Y 3.56-3.57
8 Dy 0.5557 0.8344 0.1111  3 Dy 3.54-3.56, 7 Tb 3.55-3.57, 2 Y 3.56-3.57
9 Y 0.0000 0.5000 0.0000  6 Tb 3.56, 2 Y 3.56, 4 Dy 3.56-3.57

Formation energy ... 16 meV per atom
Spin magnetization ... 0.0 μB/f.u.
Fermi-level density of states ... 12.43 states/eV per cell
Space-group type ... No. 2
E above lowest polymorph ... 0 meV/atom
E_tot ... -43.307 eV/cell

***

10.
This record from Alexandria describes a relaxed TbDy5Y4 crystal. The functional is PBE.

a = 8.0350 Å, b = 8.0350 Å, c = 8.0350 Å
α = 97.77°, β = 97.77°, γ = 136.85°
With the nearest neighbours (Å) after each atom.
Sites, in units of the cell vectors:
1 Tb 0.0000 0.0000 0.0000  1 Dy 2.78
2 Dy 0.4700 0.4700 0.0000  1 Tb 2.78
3 Dy 0.5468 0.5468 0.6233  1 Tb 3.22, 3 Dy 3.22-3.48, 2 Y 3.30
4 Dy 0.5468 0.9235 0.0000  1 Tb 3.22, 3 Dy 3.22-3.48, 2 Y 3.30
5 Dy 0.9235 0.5468 0.0000  1 Tb 3.22, 3 Dy 3.22-3.48, 2 Y 3.30
6 Dy 0.9235 0.9235 0.3767  1 Tb 3.22, 3 Dy 3.22-3.48, 2 Y 3.30
7 Y 0.2359 0.5582 0.3222  3 Dy 3.30-3.68, 1 Tb 3.68
8 Y 0.2359 0.9137 0.6778  3 Dy 3.30-3.68, 1 Tb 3.68
9 Y 0.5582 0.2359 0.3222  3 Dy 3.30-3.68, 1 Tb 3.68
10 Y 0.9137 0.2359 0.6778  3 Dy 3.30-3.68, 1 Tb 3.68

Formation energy ... 252 meV per atom
Spin magnetization ... 0.0 μB/f.u.
Fermi-level density of states ... 13.97 states/eV per cell
Space-group type ... No. 107
E above lowest polymorph ... 72 meV/atom
E_tot ... -50.977 eV/cell